No. 1
ReTe2IN PBE relaxed; uncorrected energy = -3.58 eV per atom; uncorrected formation energy = 2.141 eV/atom
1.0
5.8561 0.0000 0.0000
0.0000 5.8561 0.0000
0.0000 0.0000 3.8995
Re Te I N
1 2 1 1
direct
0.0000 0.0000 0.0000
0.0000 0.5000 0.5000
0.5000 0.0000 0.5000
0.5000 0.5000 0.5000
0.5000 0.5000 0.0000

No. 2
Li2TcSb PBE relaxed; uncorrected energy = -4.44 eV per atom; uncorrected formation energy = 0.144 eV/atom
1.0
2.6752 -4.4785 0.0000
2.6752 4.4785 0.0000
0.0000 0.0000 2.8238
Li Tc Sb
2 1 1
direct
0.0000 0.5000 0.0000
0.5000 0.0000 0.0000
0.0000 0.0000 0.5000
0.5000 0.5000 0.5000

No. 3
AlTlCd PBE relaxed; uncorrected energy = -2.17 eV per atom
1.0
11.1785 0.0000 0.0000
0.0000 4.2851 0.0000
0.0000 0.0000 6.3810
Al Tl Cd
4 4 4
direct
0.0671 0.2500 0.0526
0.4329 0.7500 0.5526
0.5671 0.2500 0.4474
0.9329 0.7500 0.9474
0.2101 0.7500 0.8033
0.2899 0.2500 0.3033
0.7101 0.7500 0.6967
0.7899 0.2500 0.1967
0.0460 0.7500 0.3638
0.4540 0.2500 0.8638
0.5460 0.7500 0.1362
0.9540 0.2500 0.6362

No. 4
PaZnSn2 PBE relaxed; uncorrected energy = -4.62 eV per atom
1.0
2.3755 1.3715 4.9539
-2.3755 1.3715 4.9539
0.0000 -2.7430 4.9539
Pa Zn Sn
1 1 2
direct
0.0000 0.0000 0.0000
0.5000 0.5000 0.5000
0.2282 0.2282 0.2282
0.7718 0.7718 0.7718

No. 5
Zr8AlCu2 PBE relaxed; uncorrected energy = -7.24 eV per atom
1.0
4.3410 0.0000 0.0000
0.0000 4.3410 0.0000
0.0000 0.0000 12.3797
Zr Al Cu
8 1 2
direct
0.0000 0.0000 0.1729
0.0000 0.0000 0.8271
0.0000 0.5000 0.0000
0.0000 0.5000 0.3483
0.0000 0.5000 0.6517
0.5000 0.0000 0.0000
0.5000 0.0000 0.3483
0.5000 0.0000 0.6517
0.5000 0.5000 0.5000
0.5000 0.5000 0.1761
0.5000 0.5000 0.8239

No. 6
PaZn5Cu7 PBE relaxed; uncorrected energy = -3.46 eV per atom
1.0
-2.4615 4.3601 4.3292
2.4615 -4.3601 4.3292
2.4615 4.3601 -4.3292
Pa Zn Cu
1 5 7
direct
0.0000 0.0000 0.0000
0.4905 0.4946 0.4977
0.4905 0.9928 0.9959
0.7738 0.2738 0.5000
0.9969 0.4946 0.0041
0.9969 0.9928 0.5023
0.2093 0.7093 0.5000
0.2105 0.4935 0.7170
0.3454 0.9925 0.3529
0.3511 0.3511 0.0000
0.6396 0.9925 0.6471
0.6459 0.6459 0.0000
0.7764 0.4935 0.2830

No. 7
Pm5MgRh6 PBE relaxed; uncorrected energy = -6.44 eV per atom
1.0
7.7218 -3.4765 0.0000
7.7218 3.4765 0.0000
-1.5353 0.0000 4.6401
Pm Mg Rh
5 1 6
direct
0.0000 0.0000 0.0000
0.1715 0.1715 0.6714
0.3459 0.3459 0.3455
0.6541 0.6541 0.6545
0.8285 0.8285 0.3286
0.5000 0.5000 0.0000
0.0855 0.5851 0.8351
0.2428 0.7572 0.5000
0.4149 0.9145 0.1649
0.5851 0.0855 0.8351
0.7572 0.2428 0.5000
0.9145 0.4149 0.1649

No. 8
Tc2AgHg PBE relaxed; uncorrected energy = -5.71 eV per atom
1.0
2.9519 0.0000 0.0000
0.0000 2.9519 0.0000
0.0000 0.0000 8.0090
Tc Ag Hg
2 1 1
direct
0.0000 0.0000 0.0000
0.5000 0.5000 0.1783
0.0000 0.0000 0.4454
0.5000 0.5000 0.7252

no.,Fermi-level density of states (states/eV per atom)
1,0.7682
2,0.7250
3,0.3606
4,1.5003
5,1.0357
6,0.6348
7,0.5012
8,0.5746